DFT (PBE) results for an optimized crystal structure of TbNpC2.

For the formation energy, the calculation gives 0.10 eV per atom. For the density of states at the Fermi level, the calculation gives 1.319 states/eV per atom. The calculation puts the energy above the lowest structure with this stoichiometry at 0.1472 eV per atom. Its electronic total energy is -8.91 eV/atom.

It has space group R3m (No. 160, hexagonal axes), with a = 3.5190 Å, b = 3.5190 Å, c = 17.5784 Å, α = 90.00°, β = 90.00° and γ = 120.00°. The asymmetric unit holds Tb at (0.0000, 0.0000, 0.0000), Np at (0.0000, 0.0000, 0.1697), C at (0.0000, 0.0000, 0.5761) and C at (0.0000, 0.0000, 0.7661).